VASP calculation (GGA+U) on crystalline Rb2MnAuO at its relaxed geometry.

- crystal system = tetragonal
- total magnetization (μB per atom) = 0.8123
- uncorrected energy (eV per atom) = -4.14

Lattice parameters (Å, degrees): 6.2049 6.2049 3.8295 90.00 90.00 90.00
With the nearest neighbours (Å) after each atom.
Sites, in units of the cell vectors:
Rb1 0.0000 0.5000 0.0000  2 O 3.10
Rb2 0.5000 0.0000 0.0000  2 O 3.10
Mn1 0.0000 0.0000 0.5000  2 O 1.91
Au1 0.5000 0.5000 0.5000  8 Rb 3.65, 2 Au 3.83
O1 0.0000 0.0000 0.0000  2 Mn 1.91